{
  "formula": "MgTiRuRh",
  "functional": "GGA-PBE",
  "state": "relaxed",
  "lattice_angstrom": [[-0.141, 1.933, 3.919], [-3.600, 2.141, 1.253], [-2.533, -1.646, 3.160]],
  "species": ["Ti", "Ru", "Mg", "Rh"],
  "frac_coords": [[0.500, 0.500, 0.500], [0.250, 0.250, 0.250], [0.000, 0.000, 0.000], [0.750, 0.750, 0.750]],
  "mass_density_g_cm3": 7.8,
  "formation_energy_ev_per_atom": -0.560,
  "e_tot_ev_per_atom": -7.09
}